Record 1
The following is a PBE calculation of Nb4SiN after structural relaxation, from Alexandria via LeMat-Bulk.

Unit cell a=6.412 b=6.412 c=6.412 alpha=107.84 beta=107.84 gamma=112.79
Atoms (fractional coordinates):
1 Nb 0.186 0.000 0.186
2 Nb 0.199 0.485 0.285
3 Nb 0.199 0.914 0.715
4 Nb 0.235 0.449 0.785
5 Nb 0.664 0.449 0.215
6 Nb 0.750 0.064 0.314
7 Nb 0.750 0.436 0.686
8 Nb 0.814 0.000 0.814
9 Si 0.460 0.960 0.500
10 Si 0.710 0.710 0.000
11 N 0.242 0.242 0.000
12 N 0.992 0.492 0.500

Output
Mass density ... 6.8 Mg/m³
Raw total energy ... -9.1935 eV/atom

---

Record 2
The following is a PBE calculation of Nb2SiN after structural relaxation, from Alexandria via LeMat-Bulk.

Unit cell a=3.229 b=3.229 c=18.873 alpha=90.00 beta=90.00 gamma=120.00
Atoms (fractional coordinates):
1 Nb 0.000 0.000 0.227
2 Nb 0.000 0.000 0.773
3 Nb 0.333 0.667 0.440
4 Nb 0.333 0.667 0.894
5 Nb 0.667 0.333 0.106
6 Nb 0.667 0.333 0.560
7 Si 0.000 0.000 0.000
8 Si 0.333 0.667 0.667
9 Si 0.667 0.333 0.333
10 N 0.000 0.000 0.500
11 N 0.333 0.667 0.167
12 N 0.667 0.333 0.833

Output
Mass density ... 6.7 Mg/m³
Raw total energy ... -9.0251 eV/atom

---

Record 3
The following is a PBE calculation of Nb3SiN after structural relaxation, from Alexandria via LeMat-Bulk.

Unit cell a=4.229 b=4.229 c=4.229 alpha=90.00 beta=90.00 gamma=90.00
Atoms (fractional coordinates):
1 Nb 0.000 0.000 0.500
2 Nb 0.000 0.500 0.000
3 Nb 0.500 0.000 0.000
4 Si 0.500 0.500 0.500
5 N 0.000 0.000 0.000

Output
Mass density ... 7.0 Mg/m³
Raw total energy ... -9.2565 eV/atom

---

Record 4
The following is a PBE calculation of Nb5Si3N after structural relaxation, from Alexandria via LeMat-Bulk.

Unit cell a=7.531 b=7.531 c=5.425 alpha=90.00 beta=90.00 gamma=120.00
Atoms (fractional coordinates):
1 Nb 0.000 0.233 0.250
2 Nb 0.000 0.767 0.750
3 Nb 0.233 0.000 0.250
4 Nb 0.233 0.233 0.750
5 Nb 0.333 0.667 0.000
6 Nb 0.333 0.667 0.500
7 Nb 0.667 0.333 0.000
8 Nb 0.667 0.333 0.500
9 Nb 0.767 0.000 0.750
10 Nb 0.767 0.767 0.250
11 Si 0.000 0.406 0.750
12 Si 0.000 0.594 0.250
13 Si 0.406 0.000 0.750
14 Si 0.406 0.406 0.250
15 Si 0.594 0.000 0.250
16 Si 0.594 0.594 0.750
17 N 0.000 0.000 0.000
18 N 0.000 0.000 0.500

Output
Mass density ... 7.0 Mg/m³
Raw total energy ... -9.1113 eV/atom

---

Record 5
The following is a PBE calculation of Nb2SiN after structural relaxation, from Alexandria via LeMat-Bulk.

Unit cell a=5.185 b=5.185 c=10.614 alpha=90.00 beta=90.00 gamma=90.00
Atoms (fractional coordinates):
1 Nb 0.169 0.250 0.125
2 Nb 0.250 0.669 0.375
3 Nb 0.250 0.831 0.875
4 Nb 0.331 0.250 0.625
5 Nb 0.669 0.750 0.625
6 Nb 0.750 0.169 0.875
7 Nb 0.750 0.331 0.375
8 Nb 0.831 0.750 0.125
9 Si 0.000 0.000 0.500
10 Si 0.000 0.500 0.750
11 Si 0.500 0.000 0.250
12 Si 0.500 0.500 0.000
13 N 0.000 0.000 0.000
14 N 0.000 0.500 0.250
15 N 0.500 0.000 0.750
16 N 0.500 0.500 0.500

Output
Mass density ... 5.3 Mg/m³
Raw total energy ... -8.5611 eV/atom

---

Record 6
The following is a PBE calculation of NbSiN after structural relaxation, from Alexandria via LeMat-Bulk.

Unit cell a=2.946 b=2.946 c=18.351 alpha=90.00 beta=90.00 gamma=90.00
Atoms (fractional coordinates):
1 Nb 0.000 0.000 0.170
2 Nb 0.000 0.000 0.830
3 Nb 0.500 0.500 0.330
4 Nb 0.500 0.500 0.670
5 Si 0.000 0.000 0.436
6 Si 0.000 0.000 0.564
7 Si 0.500 0.500 0.064
8 Si 0.500 0.500 0.936
9 N 0.000 0.000 0.295
10 N 0.000 0.000 0.705
11 N 0.500 0.500 0.205
12 N 0.500 0.500 0.795

Output
Mass density ... 5.6 Mg/m³
Raw total energy ... -8.2990 eV/atom

---

Record 7
The following is a PBE calculation of Nb6Si2N after structural relaxation, from Alexandria via LeMat-Bulk.

Unit cell a=5.397 b=6.538 c=9.711 alpha=90.00 beta=123.36 gamma=90.00
Atoms (fractional coordinates):
1 Nb 0.108 0.172 0.452
2 Nb 0.108 0.328 0.952
3 Nb 0.300 0.694 0.450
4 Nb 0.300 0.806 0.950
5 Nb 0.343 0.015 0.239
6 Nb 0.343 0.485 0.739
7 Nb 0.657 0.515 0.261
8 Nb 0.657 0.985 0.761
9 Nb 0.700 0.194 0.050
10 Nb 0.700 0.306 0.550
11 Nb 0.892 0.672 0.048
12 Nb 0.892 0.828 0.548
13 Si 0.191 0.111 0.755
14 Si 0.191 0.389 0.255
15 Si 0.809 0.611 0.745
16 Si 0.809 0.889 0.245
17 N 0.500 0.000 0.500
18 N 0.500 0.500 0.000

Output
Mass density ... 7.3 Mg/m³
Raw total energy ... -9.4366 eV/atom

---

Record 8
The following is a PBE calculation of Nb2SiN after structural relaxation, from Alexandria via LeMat-Bulk.

Unit cell a=6.048 b=6.048 c=6.048 alpha=90.00 beta=90.00 gamma=90.00
Atoms (fractional coordinates):
1 Nb 0.250 0.250 0.250
2 Nb 0.250 0.250 0.750
3 Nb 0.250 0.750 0.250
4 Nb 0.250 0.750 0.750
5 Nb 0.750 0.250 0.250
6 Nb 0.750 0.250 0.750
7 Nb 0.750 0.750 0.250
8 Nb 0.750 0.750 0.750
9 Si 0.000 0.000 0.000
10 Si 0.000 0.500 0.500
11 Si 0.500 0.000 0.500
12 Si 0.500 0.500 0.000
13 N 0.000 0.000 0.500
14 N 0.000 0.500 0.000
15 N 0.500 0.000 0.000
16 N 0.500 0.500 0.500

Output
Mass density ... 6.8 Mg/m³
Raw total energy ... -8.2738 eV/atom

---

Record 9
The following is a PBE calculation of Ti2NbSiN after structural relaxation, from Alexandria via LeMat-Bulk.

Unit cell a=4.770 b=4.770 c=4.724 alpha=90.00 beta=90.00 gamma=90.00
Atoms (fractional coordinates):
1 Ti 0.000 0.500 0.000
2 Ti 0.500 0.000 0.000
3 Nb 0.000 0.000 0.000
4 Si 0.000 0.000 0.500
5 N 0.500 0.500 0.500

Output
Mass density ... 3.6 Mg/m³
Raw total energy ... -6.0969 eV/atom

---

Record 10
The following is a PBE calculation of NbSiWN2 after structural relaxation, from Alexandria via LeMat-Bulk.

Unit cell a=3.657 b=3.657 c=5.183 alpha=90.00 beta=90.00 gamma=90.00
Atoms (fractional coordinates):
1 Nb 0.000 0.000 0.000
2 Si 0.000 0.000 0.500
3 W 0.500 0.500 0.000
4 N 0.000 0.500 0.500
5 N 0.500 0.000 0.500

Output
Mass density ... 8.0 Mg/m³
Raw total energy ... -7.4770 eV/atom

---

Record 11
The following is a PBE calculation of Sm5NbN6 after structural relaxation, from Alexandria via LeMat-Bulk.

Unit cell a=6.049 b=6.049 c=6.037 alpha=99.65 beta=99.65 gamma=119.89
Atoms (fractional coordinates):
1 Sm 0.000 0.000 0.000
2 Sm 0.167 0.833 0.500
3 Sm 0.335 0.665 0.000
4 Sm 0.665 0.335 0.000
5 Sm 0.833 0.167 0.500
6 Nb 0.500 0.500 0.500
7 N 0.117 0.423 0.269
8 N 0.270 0.270 0.737
9 N 0.423 0.117 0.269
10 N 0.577 0.883 0.731
11 N 0.730 0.730 0.263
12 N 0.883 0.577 0.731

Output
Mass density ... 8.5 Mg/m³
Raw total energy ... -8.3571 eV/atom

---

Record 12
The following is a PBE calculation of Sm2NbN4 after structural relaxation, from Alexandria via LeMat-Bulk.

Unit cell a=6.050 b=6.092 c=6.758 alpha=90.00 beta=107.60 gamma=90.00
Atoms (fractional coordinates):
1 Sm 0.161 0.250 0.024
2 Sm 0.235 0.250 0.550
3 Sm 0.765 0.750 0.450
4 Sm 0.839 0.750 0.976
5 Nb 0.291 0.750 0.814
6 Nb 0.709 0.250 0.186
7 N 0.057 0.512 0.751
8 N 0.057 0.988 0.751
9 N 0.488 0.250 0.341
10 N 0.491 0.750 0.100
11 N 0.509 0.250 0.900
12 N 0.512 0.750 0.659
13 N 0.943 0.012 0.249
14 N 0.943 0.488 0.249

Output
Mass density ... 6.3 Mg/m³
Raw total energy ... -8.4422 eV/atom